BaZnRhO3 | PBE | relaxed

The structure in POSCAR format:
```
BaZnRhO3
1.0
5.420 0.000 0.000
0.000 5.708 0.000
0.000 -2.854 6.358
Ba Zn Rh O
2 2 2 6
Cartesian
4.065 0.000 3.008
1.355 2.854 3.350
1.355 0.000 0.907
4.065 2.854 5.451
1.355 0.000 6.276
4.065 2.854 0.082
1.355 0.000 2.813
0.000 1.337 0.000
2.710 4.371 0.000
2.710 1.337 0.000
0.000 4.371 0.000
4.065 2.854 3.545
```

Output
- Final energy: -5.571 eV/atom
- Theoretical density: 6.0 g cm⁻³
- Size of the total moment: 0.3 μB per formula unit

=====

Ba2ZnRhO5 | PBE | relaxed

The structure in POSCAR format:
```
Ba2ZnRhO5
1.0
-2.218 -2.485 0.811
5.547 -0.774 5.552
-5.294 6.758 6.231
Ba Zn Rh O
4 2 2 10
Cartesian
-2.039 2.667 9.842
-2.624 4.200 5.695
-0.466 1.522 3.389
1.284 -1.498 6.165
-5.655 4.989 7.066
1.500 1.307 8.107
-1.298 1.084 7.016
1.826 -0.766 2.646
-2.243 5.371 10.320
-4.078 4.005 8.364
-5.263 4.100 5.414
-0.824 3.120 7.305
-0.227 0.712 8.804
-2.363 1.502 5.385
0.573 1.462 6.044
2.837 -0.011 7.724
0.123 -1.234 3.802
0.476 -0.038 1.185
```

Output
- Final energy: -5.840 eV/atom
- Theoretical density: 6.2 g cm⁻³
- Size of the total moment: 1.0 μB per formula unit